(1)
Crystalline SiSb3 at its relaxed geometry, computed with GGA-PBE.

Computed properties:
DFT total energy = -63.37 eV/cell
Polymorph energy (0 for the lowest one) = 310.7 meV per atom
Uncorrected formation energy = 0.487 eV/atom

Cell and atoms, written as CIF:
```
data_SiSb3
_chemical_formula_sum 'Si4 Sb12'
_symmetry_space_group_name_H-M 'F m -3 m'
_symmetry_Int_Tables_number 225
_symmetry_space_group_name_Hall '-F 4 2 3'
_cell_length_a 7.2962
_cell_length_b 7.2962
_cell_length_c 7.2962
_cell_angle_alpha 90.00
_cell_angle_beta 90.00
_cell_angle_gamma 90.00
loop_
_atom_site_label
_atom_site_type_symbol
_atom_site_fract_x
_atom_site_fract_y
_atom_site_fract_z
Si1 Si 0.0000 0.0000 0.0000
Sb1 Sb 0.0000 0.0000 0.5000
Sb2 Sb 0.2500 0.2500 0.2500
```

(2)
Crystalline Si2Sb at its relaxed geometry, computed with GGA-PBE.

Computed properties:
DFT total energy = -54.01 eV/cell
Polymorph energy (0 for the lowest one) = 219.7 meV per atom
Uncorrected formation energy = 0.489 eV/atom

Cell and atoms, written as CIF:
```
data_Si2Sb
_chemical_formula_sum 'Si8 Sb4'
_symmetry_space_group_name_H-M 'I 4/m c m'
_symmetry_Int_Tables_number 140
_symmetry_space_group_name_Hall '-I 4 2c'
_cell_length_a 5.5184
_cell_length_b 5.5184
_cell_length_c 8.0948
_cell_angle_alpha 90.00
_cell_angle_beta 90.00
_cell_angle_gamma 90.00
loop_
_atom_site_label
_atom_site_type_symbol
_atom_site_fract_x
_atom_site_fract_y
_atom_site_fract_z
Si1 Si 0.1559 0.3441 0.0000
Sb1 Sb 0.0000 0.0000 0.2500
```

(3)
Crystalline SiSb3 at its relaxed geometry, computed with GGA-PBE.

Computed properties:
DFT total energy = -67.19 eV/cell
Polymorph energy (0 for the lowest one) = 72.1 meV per atom
Uncorrected formation energy = 0.248 eV/atom

Cell and atoms, written as CIF:
```
data_SiSb3
_chemical_formula_sum 'Si4 Sb12'
_symmetry_space_group_name_H-M 'C m c m'
_symmetry_Int_Tables_number 63
_symmetry_space_group_name_Hall '-C 2c 2'
_cell_length_a 8.3454
_cell_length_b 13.7017
_cell_length_c 4.1511
_cell_angle_alpha 90.00
_cell_angle_beta 90.00
_cell_angle_gamma 90.00
loop_
_atom_site_label
_atom_site_type_symbol
_atom_site_fract_x
_atom_site_fract_y
_atom_site_fract_z
Si1 Si 0.0000 0.0493 0.2500
Sb1 Sb 0.0000 0.4177 0.2500
Sb2 Sb 0.2346 0.3328 0.7500
```

(4)
Crystalline Si4Sb3 at its relaxed geometry, computed with GGA-PBE.

Computed properties:
DFT total energy = -62.20 eV/cell
Uncorrected formation energy = 0.422 eV/atom

Cell and atoms, written as CIF:
```
data_Si4Sb3
_chemical_formula_sum 'Si8 Sb6'
_symmetry_space_group_name_H-M 'I 4/m m m'
_symmetry_Int_Tables_number 139
_symmetry_space_group_name_Hall '-I 4 2'
_cell_length_a 3.3228
_cell_length_b 3.3228
_cell_length_c 26.3433
_cell_angle_alpha 90.00
_cell_angle_beta 90.00
_cell_angle_gamma 90.00
loop_
_atom_site_label
_atom_site_type_symbol
_atom_site_fract_x
_atom_site_fract_y
_atom_site_fract_z
Si1 Si 0.0000 0.0000 0.0852
Si2 Si 0.0000 0.0000 0.3820
Sb1 Sb 0.0000 0.0000 0.1975
Sb2 Sb 0.0000 0.0000 0.5000
```

(5)
Crystalline SiSb4 at its relaxed geometry, computed with GGA-PBE.

Computed properties:
DFT total energy = -40.67 eV/cell
Polymorph energy (0 for the lowest one) = 0.0 meV per atom
Uncorrected formation energy = 0.315 eV/atom

Cell and atoms, written as CIF:
```
data_SiSb4
_chemical_formula_sum 'Si2 Sb8'
_symmetry_space_group_name_H-M 'I 4/m'
_symmetry_Int_Tables_number 87
_symmetry_space_group_name_Hall '-I 4'
_cell_length_a 8.5440
_cell_length_b 8.5440
_cell_length_c 3.5768
_cell_angle_alpha 90.00
_cell_angle_beta 90.00
_cell_angle_gamma 90.00
loop_
_atom_site_label
_atom_site_type_symbol
_atom_site_fract_x
_atom_site_fract_y
_atom_site_fract_z
Si1 Si 0.0000 0.0000 0.0000
Sb1 Sb 0.0799 0.2533 0.5000
```

(6)
Crystalline Si5Sb3 at its relaxed geometry, computed with GGA-PBE.

Computed properties:
DFT total energy = -73.82 eV/cell
Polymorph energy (0 for the lowest one) = 0.0 meV per atom
Uncorrected formation energy = 0.321 eV/atom

Cell and atoms, written as CIF:
```
data_Si5Sb3
_chemical_formula_sum 'Si10 Sb6'
_symmetry_space_group_name_H-M 'P 1'
_symmetry_Int_Tables_number 1
_cell_length_a 6.1489
_cell_length_b 7.6173
_cell_length_c 9.2917
_cell_angle_alpha 88.84
_cell_angle_beta 70.73
_cell_angle_gamma 86.43
loop_
_symmetry_equiv_pos_as_xyz
'x,y,z'
loop_
_atom_site_label
_atom_site_type_symbol
_atom_site_fract_x
_atom_site_fract_y
_atom_site_fract_z
Si1 Si 0.0000 0.0000 0.0000
Si2 Si 0.0022 0.2895 0.9089
Si3 Si 0.3747 0.1530 0.1365
Si4 Si 0.3776 0.2813 0.5358
Si5 Si 0.4734 0.9531 0.3157
Si6 Si 0.6523 0.9530 0.9574
Si7 Si 0.6903 0.3387 0.1367
Si8 Si 0.7741 0.2898 0.3648
Si9 Si 0.7766 0.2808 0.7378
Si10 Si 0.8633 0.0003 0.2737
Sb1 Sb 0.0124 0.4671 0.4976
Sb2 Sb 0.0683 0.7030 0.1370
Sb3 Sb 0.2776 0.9506 0.6176
Sb4 Sb 0.3732 0.4668 0.7765
Sb5 Sb 0.5311 0.6768 0.1365
Sb6 Sb 0.7586 0.9502 0.6555
```

(7)
Crystalline SiSb3 at its relaxed geometry, computed with GGA-PBE.

Computed properties:
DFT total energy = -16.57 eV/cell
Polymorph energy (0 for the lowest one) = 129.3 meV per atom
Uncorrected formation energy = 0.305 eV/atom

Cell and atoms, written as CIF:
```
data_SiSb3
_chemical_formula_sum 'Si1 Sb3'
_symmetry_space_group_name_H-M 'P -6 m 2'
_symmetry_Int_Tables_number 187
_symmetry_space_group_name_Hall 'P -6 2'
_cell_length_a 3.9316
_cell_length_b 3.9316
_cell_length_c 7.8613
_cell_angle_alpha 90.00
_cell_angle_beta 90.00
_cell_angle_gamma 120.00
loop_
_atom_site_label
_atom_site_type_symbol
_atom_site_fract_x
_atom_site_fract_y
_atom_site_fract_z
Si1 Si 0.0000 0.0000 0.0000
Sb1 Sb 0.0000 0.0000 0.5000
Sb2 Sb 0.3333 0.6667 0.2222
```

(8)
Crystalline SiSb3 at its relaxed geometry, computed with GGA-PBE.

Computed properties:
DFT total energy = -68.08 eV/cell
Polymorph energy (0 for the lowest one) = 16.7 meV per atom
Uncorrected formation energy = 0.193 eV/atom

Cell and atoms, written as CIF:
```
data_SiSb3
_chemical_formula_sum 'Si4 Sb12'
_symmetry_space_group_name_H-M 'P n m a'
_symmetry_Int_Tables_number 62
_cell_length_a 8.9757
_cell_length_b 8.4462
_cell_length_c 5.8170
_cell_angle_alpha 90.00
_cell_angle_beta 90.00
_cell_angle_gamma 90.00
loop_
_symmetry_equiv_pos_as_xyz
'x,y,z'
'-x,-y,-z'
'-x+1/2,-y,z+1/2'
'x+1/2,y,-z+1/2'
'x+1/2,-y+1/2,-z+1/2'
'-x+1/2,y+1/2,z+1/2'
'-x,y+1/2,-z'
'x,-y+1/2,z'
loop_
_atom_site_label
_atom_site_type_symbol
_atom_site_fract_x
_atom_site_fract_y
_atom_site_fract_z
Si1 Si 0.0122 0.2500 0.2487
Sb1 Sb 0.0139 0.7500 0.2491
Sb2 Sb 0.2204 0.0189 0.2486
```

(9)
Crystalline SiSb3 at its relaxed geometry, computed with GGA-PBE.

Computed properties:
DFT total energy = -32.35 eV/cell
Polymorph energy (0 for the lowest one) = 227.6 meV per atom
Uncorrected formation energy = 0.404 eV/atom

Cell and atoms, written as CIF:
```
data_SiSb3
_chemical_formula_sum 'Si2 Sb6'
_symmetry_space_group_name_H-M 'C m m m'
_symmetry_Int_Tables_number 65
_symmetry_space_group_name_Hall '-C 2 2'
_cell_length_a 3.9064
_cell_length_b 5.3128
_cell_length_c 9.5049
_cell_angle_alpha 90.00
_cell_angle_beta 90.00
_cell_angle_gamma 90.00
loop_
_atom_site_label
_atom_site_type_symbol
_atom_site_fract_x
_atom_site_fract_y
_atom_site_fract_z
Si1 Si 0.0000 0.0000 0.0000
Sb1 Sb 0.0000 0.0000 0.5000
Sb2 Sb 0.0000 0.5000 0.2168
```

(10)
Crystalline SiSb3 at its relaxed geometry, computed with GGA-PBE.

Computed properties:
DFT total energy = -33.17 eV/cell
Polymorph energy (0 for the lowest one) = 125.4 meV per atom
Uncorrected formation energy = 0.301 eV/atom

Cell and atoms, written as CIF:
```
data_SiSb3
_chemical_formula_sum 'Si2 Sb6'
_symmetry_space_group_name_H-M 'P 63/m m c'
_symmetry_Int_Tables_number 194
_symmetry_space_group_name_Hall '-P 6c 2c'
_cell_length_a 7.9108
_cell_length_b 7.9108
_cell_length_c 3.9060
_cell_angle_alpha 90.00
_cell_angle_beta 90.00
_cell_angle_gamma 120.00
loop_
_atom_site_label
_atom_site_type_symbol
_atom_site_fract_x
_atom_site_fract_y
_atom_site_fract_z
Si1 Si 0.3333 0.6667 0.2500
Sb1 Sb 0.1808 0.3616 0.7500
```

(11)
Crystalline Si2Sb at its relaxed geometry, computed with GGA-PBE.

Computed properties:
DFT total energy = -14.08 eV/cell
Polymorph energy (0 for the lowest one) = 25.6 meV per atom
Uncorrected formation energy = 0.295 eV/atom

Cell and atoms, written as CIF:
```
data_Si2Sb
_chemical_formula_sum 'Si2 Sb1'
_symmetry_space_group_name_H-M 'P -3 m 1'
_symmetry_Int_Tables_number 164
_symmetry_space_group_name_Hall '-P 3 2"'
_cell_length_a 3.8009
_cell_length_b 3.8009
_cell_length_c 4.8708
_cell_angle_alpha 90.00
_cell_angle_beta 90.00
_cell_angle_gamma 120.00
loop_
_atom_site_label
_atom_site_type_symbol
_atom_site_fract_x
_atom_site_fract_y
_atom_site_fract_z
Si1 Si 0.3333 0.6667 0.1143
Sb1 Sb 0.0000 0.0000 0.5000
```

(12)
Crystalline Si2Sb at its relaxed geometry, computed with GGA-PBE.

Computed properties:
DFT total energy = -54.46 eV/cell
Polymorph energy (0 for the lowest one) = 182.0 meV per atom
Uncorrected formation energy = 0.451 eV/atom

Cell and atoms, written as CIF:
```
data_Si2Sb
_chemical_formula_sum 'Si8 Sb4'
_symmetry_space_group_name_H-M 'C m c m'
_symmetry_Int_Tables_number 63
_symmetry_space_group_name_Hall '-C 2c 2'
_cell_length_a 4.9713
_cell_length_b 9.0072
_cell_length_c 5.3989
_cell_angle_alpha 90.00
_cell_angle_beta 90.00
_cell_angle_gamma 90.00
loop_
_atom_site_label
_atom_site_type_symbol
_atom_site_fract_x
_atom_site_fract_y
_atom_site_fract_z
Si1 Si 0.0000 0.0065 0.2500
Si2 Si 0.0000 0.3487 0.7500
Sb1 Sb 0.0000 0.3273 0.2500
```